# Tb2Tm8In3

A relaxed Tb2Tm8In3 crystal (PBE, the Alexandria database).

Unit cell a=6.325 b=6.325 c=12.137 alpha=74.90 beta=74.90 gamma=60.00
Atoms (fractional coordinates):
1 In 0.813 0.813 0.562
2 In 0.000 0.000 0.000
3 In 0.187 0.187 0.438
4 Tm 0.280 0.779 0.661
5 Tm 0.272 0.272 0.183
6 Tm 0.720 0.720 0.339
7 Tm 0.280 0.280 0.661
8 Tm 0.221 0.720 0.339
9 Tm 0.728 0.728 0.817
10 Tm 0.779 0.280 0.661
11 Tm 0.720 0.221 0.339
12 Tb 0.363 0.363 0.912
13 Tb 0.637 0.637 0.088

## Properties
- Magnetization: 2.0 μB/f.u.
- Formation enthalpy at 0 K: 1.60 eV per formula unit

***

# Mg2SbBr

A relaxed Mg2SbBr crystal (PBE, the Alexandria database).

Unit cell a=6.307 b=6.307 c=8.080 alpha=67.03 beta=67.03 gamma=90.00
Atoms (fractional coordinates):
1 Mg 0.875 0.892 0.750
2 Mg 0.642 0.125 0.250
3 Mg 0.108 0.625 0.250
4 Mg 0.375 0.358 0.750
5 Sb 0.000 0.000 0.000
6 Sb 0.750 0.250 0.500
7 Br 0.500 0.500 0.000
8 Br 0.250 0.750 0.500

## Properties
- Magnetization: 0.0 μB/f.u.
- Raw formation energy: -14.628 kcal/mol of atoms

***

# Th2NbTcN6

A relaxed Th2NbTcN6 crystal (PBE, the Alexandria database).

Unit cell a=4.755 b=5.546 c=5.546 alpha=90.00 beta=90.00 gamma=90.00
Atoms (fractional coordinates):
1 Tc 0.572 0.000 0.000
2 N 0.725 0.754 0.246
3 N 0.725 0.246 0.246
4 N 0.725 0.246 0.754
5 N 0.725 0.754 0.754
6 N 0.189 0.500 0.500
7 N 0.207 0.000 0.000
8 Nb 0.586 0.500 0.500
9 Th 0.997 0.500 0.000
10 Th 0.997 0.000 0.500

## Properties
- Magnetization: 0.0 μB/f.u.
- Raw formation energy: -21.534 kcal/mol of atoms

***

# BaAc8Rh5

A relaxed BaAc8Rh5 crystal (PBE, the Alexandria database).

Unit cell a=11.430 b=11.430 c=10.680 alpha=76.74 beta=76.74 gamma=22.12
Atoms (fractional coordinates):
1 Rh 0.298 0.298 0.323
2 Rh 0.335 0.335 0.004
3 Rh 0.665 0.665 0.997
4 Rh 0.702 0.702 0.677
5 Rh 0.000 0.000 0.000
6 Ac 0.096 0.096 0.151
7 Ac 0.175 0.175 0.509
8 Ac 0.428 0.428 0.157
9 Ac 0.572 0.572 0.843
10 Ac 0.825 0.825 0.491
11 Ac 0.241 0.241 0.839
12 Ac 0.759 0.759 0.161
13 Ac 0.904 0.904 0.849
14 Ba 0.500 0.500 0.500

## Properties
- Magnetization: 0.0 μB/f.u.
- Formation enthalpy at 0 K: -7.97 eV per formula unit

***

# PmEu3P

A relaxed PmEu3P crystal (PBE, the Alexandria database).

Unit cell a=5.716 b=5.716 c=5.716 alpha=90.00 beta=90.00 gamma=90.00
Atoms (fractional coordinates):
1 P 0.000 0.000 0.000
2 Pm 0.500 0.500 0.500
3 Eu 0.000 0.500 0.000
4 Eu 0.500 0.000 0.000
5 Eu 0.000 0.000 0.500

## Properties
- Magnetization: 22.7 μB/f.u.
- Formation enthalpy at 0 K: -1.59 eV per formula unit

***

# TlCdPbC2

A relaxed TlCdPbC2 crystal (PBE, the Alexandria database).

Unit cell a=4.673 b=4.673 c=5.835 alpha=90.00 beta=90.00 gamma=90.00
Atoms (fractional coordinates):
1 C 0.000 0.500 0.000
2 C 0.500 0.000 0.000
3 Tl 0.000 0.000 0.500
4 Cd 0.000 0.000 0.000
5 Pb 0.500 0.500 0.500

## Properties
- Magnetization: 1.6 μB/f.u.
- Formation enthalpy at 0 K: 11.25 eV per formula unit

***

# HfTlZn3

A relaxed HfTlZn3 crystal (PBE, the Alexandria database).

Unit cell a=4.962 b=4.962 c=4.962 alpha=90.00 beta=90.00 gamma=90.00
Atoms (fractional coordinates):
1 Tl 0.000 0.000 0.000
2 Zn 0.000 0.500 0.000
3 Zn 0.500 0.000 0.000
4 Zn 0.000 0.000 0.500
5 Hf 0.500 0.500 0.500

## Properties
- Magnetization: 0.0 μB/f.u.
- Formation enthalpy at 0 K: 5.12 eV per formula unit

***

# CsPmGeO4

A relaxed CsPmGeO4 crystal (PBE, the Alexandria database).

Unit cell a=5.925 b=6.040 c=8.146 alpha=90.00 beta=107.94 gamma=90.00
Atoms (fractional coordinates):
1 O 0.435 0.750 0.214
2 O 0.545 0.250 0.440
3 O 0.953 0.475 0.668
4 O 0.953 0.025 0.668
5 O 0.047 0.525 0.332
6 O 0.047 0.975 0.332
7 O 0.565 0.250 0.786
8 O 0.455 0.750 0.560
9 Ge 0.749 0.250 0.652
10 Ge 0.251 0.750 0.348
11 Pm 0.209 0.250 0.540
12 Pm 0.791 0.750 0.460
13 Cs 0.306 0.250 0.070
14 Cs 0.694 0.750 0.930

## Properties
- Magnetization: 0.0 μB/f.u.
- Raw formation energy: -54.183 kcal/mol of atoms

***

# CaZr2Tc

A relaxed CaZr2Tc crystal (PBE, the Alexandria database).

Unit cell a=3.402 b=3.402 c=8.054 alpha=90.00 beta=90.00 gamma=90.00
Atoms (fractional coordinates):
1 Ca 0.000 0.000 0.545
2 Zr 0.000 0.000 0.960
3 Zr 0.500 0.500 0.197
4 Tc 0.500 0.500 0.798

## Properties
- Magnetization: 0.0 μB/f.u.
- Formation enthalpy at 0 K: 0.49 eV per formula unit

***

# KBaReRu2

A relaxed KBaReRu2 crystal (PBE, the Alexandria database).

Unit cell a=4.832 b=5.856 c=4.832 alpha=90.00 beta=90.00 gamma=90.00
Atoms (fractional coordinates):
1 Ba 0.000 0.500 0.000
2 K 0.500 0.500 0.500
3 Ru 0.500 0.000 0.000
4 Ru 0.000 0.000 0.500
5 Re 0.000 0.000 0.000

## Properties
- Magnetization: 0.5 μB/f.u.
- Formation enthalpy at 0 K: 5.57 eV per formula unit

***

# Pr2DyPb9

A relaxed Pr2DyPb9 crystal (PBE, the Alexandria database).

Unit cell a=4.927 b=4.927 c=14.750 alpha=90.00 beta=90.00 gamma=90.00
Atoms (fractional coordinates):
1 Pb 0.500 0.000 0.500
2 Pb 0.500 0.000 0.838
3 Pb 0.500 0.000 0.162
4 Pb 0.000 0.500 0.500
5 Pb 0.500 0.500 0.000
6 Pb 0.000 0.500 0.838
7 Pb 0.500 0.500 0.669
8 Pb 0.500 0.500 0.331
9 Pb 0.000 0.500 0.162
10 Dy 0.000 0.000 0.000
11 Pr 0.000 0.000 0.332
12 Pr 0.000 0.000 0.668

## Properties
- Magnetization: 0.0 μB/f.u.
- Formation enthalpy at 0 K: -4.20 eV per formula unit

***

# PmB3Ru2

A relaxed PmB3Ru2 crystal (PBE, the Alexandria database).

Unit cell a=5.964 b=5.287 c=6.347 alpha=114.61 beta=118.02 gamma=90.00
Atoms (fractional coordinates):
1 B 0.500 0.832 0.000
2 B 0.500 0.168 0.000
3 B 0.000 0.500 0.500
4 B 0.000 0.668 0.000
5 B 0.000 0.332 0.000
6 B 0.000 0.000 0.500
7 Ru 0.228 0.413 0.826
8 Ru 0.772 0.587 0.174
9 Ru 0.098 0.913 0.826
10 Ru 0.902 0.087 0.174
11 Pm 0.385 0.750 0.500
12 Pm 0.615 0.250 0.500

## Properties
- Magnetization: 0.0 μB/f.u.
- Formation enthalpy at 0 K: -0.96 eV per formula unit

***

# CaSi2H

A relaxed CaSi2H crystal (PBE, the Alexandria database).

Unit cell a=5.877 b=3.846 c=6.635 alpha=90.00 beta=110.73 gamma=90.00
Atoms (fractional coordinates):
1 Ca 0.653 0.500 0.741
2 Ca 0.652 0.000 0.203
3 Si 0.192 0.500 0.241
4 Si 0.078 0.000 0.018
5 Si 0.047 0.500 0.532
6 Si 0.248 0.000 0.736
7 H 0.481 0.500 0.356
8 H 0.603 0.500 0.046

## Properties
- Magnetization: 0.0 μB/f.u.

***

# ErSc2Nb

A relaxed ErSc2Nb crystal (PBE, the Alexandria database).

Unit cell a=3.681 b=3.681 c=6.967 alpha=90.00 beta=90.00 gamma=90.00
Atoms (fractional coordinates):
1 Er 0.500 0.500 0.500
2 Nb 0.500 0.500 0.000
3 Sc 0.000 0.000 0.209
4 Sc 0.000 0.000 0.791

## Properties
- Magnetization: 0.0 μB/f.u.
- Formation enthalpy at 0 K: 0.58 eV per formula unit

***

# B3SN

A relaxed B3SN crystal (PBE, the Alexandria database).

Unit cell a=3.709 b=3.709 c=3.709 alpha=90.00 beta=90.00 gamma=90.00
Atoms (fractional coordinates):
1 N 0.500 0.500 0.500
2 B 0.500 0.000 0.000
3 B 0.000 0.500 0.000
4 B 0.000 0.000 0.500
5 S 0.000 0.000 0.000

## Properties
- Magnetization: 0.0 μB/f.u.
- Raw formation energy: 57.173 kcal/mol of atoms

***

# La3NpH

A relaxed La3NpH crystal (PBE, the Alexandria database).

Unit cell a=5.119 b=5.119 c=5.119 alpha=90.00 beta=90.00 gamma=90.00
Atoms (fractional coordinates):
1 Np 0.500 0.500 0.500
2 La 0.500 0.000 0.000
3 La 0.000 0.000 0.500
4 La 0.000 0.500 0.000
5 H 0.000 0.000 0.000

## Properties
- Magnetization: 5.1 μB/f.u.

***

# Pr3Si2S8I

A relaxed Pr3Si2S8I crystal (PBE, the Alexandria database).

Unit cell a=8.952 b=8.952 c=10.953 alpha=83.32 beta=83.32 gamma=52.56
Atoms (fractional coordinates):
1 Si 0.698 0.623 0.469
2 Si 0.377 0.302 0.031
3 Si 0.623 0.698 0.969
4 Si 0.302 0.377 0.531
5 I 0.011 0.989 0.250
6 I 0.989 0.011 0.750
7 S 0.417 0.719 0.453
8 S 0.281 0.583 0.047
9 S 0.748 0.551 0.659
10 S 0.401 0.891 0.851
11 S 0.109 0.599 0.649
12 S 0.288 0.148 0.585
13 S 0.551 0.748 0.159
14 S 0.599 0.109 0.149
15 S 0.252 0.449 0.341
16 S 0.891 0.401 0.351
17 S 0.719 0.417 0.953
18 S 0.148 0.288 0.085
19 S 0.583 0.281 0.547
20 S 0.449 0.252 0.841
21 S 0.852 0.712 0.915
22 S 0.712 0.852 0.415
23 Pr 0.678 0.925 0.683
24 Pr 0.075 0.322 0.817
25 Pr 0.405 0.595 0.750
26 Pr 0.595 0.405 0.250
27 Pr 0.322 0.075 0.317
28 Pr 0.925 0.678 0.183

## Properties
- Magnetization: 0.0 μB/f.u.
- Raw formation energy: -33.588 kcal/mol of atoms

***

# LiNiRh2

A relaxed LiNiRh2 crystal (PBE, the Alexandria database).

Unit cell a=2.635 b=2.635 c=8.697 alpha=90.00 beta=90.00 gamma=117.01
Atoms (fractional coordinates):
1 Li 0.500 0.500 0.250
2 Ni 0.500 0.500 0.750
3 Rh 0.000 0.000 0.505
4 Rh 0.000 0.000 0.995

## Properties
- Magnetization: 2.0 μB/f.u.
- Formation enthalpy at 0 K: 0.22 eV per formula unit

***

# Mg6CdNi2

A relaxed Mg6CdNi2 crystal (PBE, the Alexandria database).

Unit cell a=8.805 b=7.660 c=7.660 alpha=65.58 beta=54.92 gamma=54.92
Atoms (fractional coordinates):
1 Ni 0.624 0.876 0.876
2 Ni 0.000 0.661 0.339
3 Ni 0.000 0.339 0.661
4 Ni 0.376 0.124 0.124
5 Cd 0.500 0.500 0.500
6 Cd 0.000 0.000 0.000
7 Mg 0.363 0.332 0.332
8 Mg 0.285 0.814 0.186
9 Mg 0.249 0.961 0.541
10 Mg 0.751 0.459 0.039
11 Mg 0.974 0.332 0.332
12 Mg 0.751 0.039 0.459
13 Mg 0.026 0.668 0.668
14 Mg 0.249 0.541 0.961
15 Mg 0.715 0.186 0.814
16 Mg 0.637 0.668 0.668
17 Mg 0.715 0.814 0.186
18 Mg 0.285 0.186 0.814

## Properties
- Magnetization: 0.0 μB/f.u.
- Formation enthalpy at 0 K: -1.16 eV per formula unit

***

# V2Ga4Mo

A relaxed V2Ga4Mo crystal (PBE, the Alexandria database).

Unit cell a=6.357 b=6.357 c=5.170 alpha=127.93 beta=127.93 gamma=90.02
Atoms (fractional coordinates):
1 V 0.250 0.750 0.500
2 V 0.750 0.250 0.500
3 Mo 0.000 0.000 0.000
4 Ga 0.299 0.299 0.000
5 Ga 0.299 0.701 0.000
6 Ga 0.701 0.299 0.000
7 Ga 0.701 0.701 0.000

## Properties
- Magnetization: 0.0 μB/f.u.
- Formation enthalpy at 0 K: -0.81 eV per formula unit

***

Number 1: electronic total energy -3.973 eV per atom. Number 2: electronic total energy -2.880 eV per atom. Number 3: electronic total energy -9.457 eV per atom. Number 4: electronic total energy -5.680 eV per atom. Number 5: electronic total energy -8.514 eV per atom. Number 6: electronic total energy -2.838 eV per atom. Number 7: electronic total energy -2.204 eV per atom. Number 8: electronic total energy -6.643 eV per atom. Number 9: electronic total energy -7.242 eV per atom. Number 10: electronic total energy -5.690 eV per atom. Number 11: electronic total energy -4.312 eV per atom. Number 12: electronic total energy -7.382 eV per atom. Number 13: electronic total energy -4.326 eV per atom. Number 14: electronic total energy -6.679 eV per atom. Number 15: electronic total energy -4.018 eV per atom. Number 16: electronic total energy -6.098 eV per atom. Number 17: electronic total energy -5.725 eV per atom. Number 18: electronic total energy -5.545 eV per atom. Number 19: electronic total energy -2.579 eV per atom. Number 20: electronic total energy -5.998 eV per atom.